1.
Compound: SbAuC2Cl
Source: Alexandria
Functional: PBE
Structure: optimized geometry

Computed properties:
Its symmetry is No. 123. The value obtained for the raw total energy is -0.26484 Ry per atom.

Cell and atoms, written as extended XYZ:
```
5
Lattice="4.082 0.000 0.000 0.000 4.082 0.000 0.000 0.000 6.088" Properties=species:S:1:pos:R:3 pbc="T T T"
Sb 0.000 0.000 0.000
Au 0.000 0.000 3.044
C 0.000 2.041 3.044
C 2.041 0.000 3.044
Cl 2.041 2.041 0.000
```

***

2.
Compound: LaNdPuMg
Source: Alexandria
Functional: PBE
Structure: optimized geometry

Computed properties:
As for the energy of formation from the pure elements: 134.8 meV per atom. Its symmetry is No. 216. The value obtained for the raw total energy is -0.46088 Ry per atom.

Cell and atoms, written as extended XYZ:
```
4
Lattice="0.000 3.963 3.963 3.963 0.000 3.963 3.963 3.963 0.000" Properties=species:S:1:pos:R:3 pbc="T T T"
La 0.000 0.000 0.000
Nd 3.963 3.963 3.963
Pu 5.945 5.945 5.945
Mg 1.982 1.982 1.982
```

***

3.
Compound: LaReMo2
Source: Alexandria
Functional: PBE
Structure: optimized geometry

Computed properties:
As for the relative energy among the computed polymorphs: 0.142 eV/atom. As for the energy of formation from the pure elements: 525.0 meV per atom. Its symmetry is No. 216. The value obtained for the raw total energy is -0.67872 Ry per atom.

Cell and atoms, written as extended XYZ:
```
4
Lattice="0.000 3.316 3.316 3.316 0.000 3.316 3.316 3.316 0.000" Properties=species:S:1:pos:R:3 pbc="T T T"
La 0.000 0.000 0.000
Re 1.658 1.658 1.658
Mo 3.316 3.316 3.316
Mo 4.974 4.974 4.974
```

***

4.
Compound: ZrIr3
Source: Alexandria
Functional: PBE
Structure: optimized geometry

Computed properties:
As for the energy of formation from the pure elements: -242.7 meV per atom. Its symmetry is No. 123. The value obtained for the raw total energy is -0.66336 Ry per atom.

Cell and atoms, written as extended XYZ:
```
4
Lattice="2.829 0.000 0.000 0.000 2.829 0.000 0.000 0.000 8.015" Properties=species:S:1:pos:R:3 pbc="T T T"
Zr 0.000 0.000 0.000
Ir 0.000 0.000 4.008
Ir 1.414 1.414 2.137
Ir 1.414 1.414 5.878
```

***

5.
Compound: Sr2ZnPPb
Source: Alexandria
Functional: PBE
Structure: optimized geometry

Computed properties:
As for the energy of formation from the pure elements: -624.4 meV per atom. Its symmetry is No. 11. The value obtained for the raw total energy is -0.24810 Ry per atom.

Cell and atoms, written as extended XYZ:
```
10
Lattice="7.875 0.000 0.000 0.000 4.251 0.000 -3.179 0.000 9.499" Properties=species:S:1:pos:R:3 pbc="T T T"
Sr 0.315 1.063 3.730
Sr -1.345 1.063 9.298
Sr 6.042 3.189 0.201
Sr 4.381 3.189 5.769
Zn 2.912 3.189 2.458
Zn 1.785 1.063 7.041
P 0.766 3.189 1.681
P 3.931 1.063 7.818
Pb -0.008 3.189 6.649
Pb 4.705 1.063 2.850
```

***

6.
Compound: TiMoC2
Source: Alexandria
Functional: PBE
Structure: optimized geometry

Computed properties:
As for the relative energy among the computed polymorphs: 0.886 eV/atom. As for the energy of formation from the pure elements: 426.5 meV per atom. Its symmetry is No. 225. The value obtained for the raw total energy is -0.65171 Ry per atom.

Cell and atoms, written as extended XYZ:
```
4
Lattice="0.000 2.708 2.708 2.708 0.000 2.708 2.708 2.708 0.000" Properties=species:S:1:pos:R:3 pbc="T T T"
Ti 0.000 0.000 0.000
Mo 2.708 2.708 2.708
C 1.354 1.354 1.354
C 4.062 4.062 4.062
```

***

7.
Compound: SmErRh2
Source: Alexandria
Functional: PBE
Structure: optimized geometry

Computed properties:
As for the energy of formation from the pure elements: -819.6 meV per atom. Its symmetry is No. 139. The value obtained for the raw total energy is -0.50096 Ry per atom.

Cell and atoms, written as extended XYZ:
```
4
Lattice="-2.435 2.435 3.455 2.435 -2.435 3.455 2.435 2.435 -3.455" Properties=species:S:1:pos:R:3 pbc="T T T"
Sm 0.000 0.000 0.000
Er 0.000 0.000 3.455
Rh 2.435 0.000 1.727
Rh 0.000 2.435 1.727
```

***

8.
Compound: RhIN2
Source: Alexandria
Functional: PBE
Structure: optimized geometry

Computed properties:
As for the relative energy among the computed polymorphs: 0.000 eV/atom. Its symmetry is No. 166. The value obtained for the raw total energy is -0.39586 Ry per atom.

Cell and atoms, written as extended XYZ:
```
4
Lattice="1.637 0.945 6.297 -1.637 0.945 6.297 0.000 -1.890 6.297" Properties=species:S:1:pos:R:3 pbc="T T T"
Rh 0.000 0.000 0.000
I 0.000 0.000 9.445
N 0.000 0.000 7.219
N 0.000 0.000 11.671
```

***

9.
Compound: CrReRu
Source: Alexandria
Functional: PBE
Structure: optimized geometry

Computed properties:
As for the relative energy among the computed polymorphs: 0.132 eV/atom. As for the energy of formation from the pure elements: 251.7 meV per atom. Its symmetry is No. 139. The value obtained for the raw total energy is -0.74950 Ry per atom.

Cell and atoms, written as extended XYZ:
```
6
Lattice="-1.421 1.421 10.532 1.421 -1.421 10.532 1.421 1.421 -10.532" Properties=species:S:1:pos:R:3 pbc="T T T"
Cr 0.000 0.000 4.675
Cr 0.000 0.000 16.390
Re 0.000 0.000 1.219
Re 0.000 0.000 19.846
Ru 0.000 0.000 7.578
Ru 0.000 0.000 13.487
```

***

10.
Compound: AcLa2Tb
Source: Alexandria
Functional: PBE
Structure: optimized geometry

Computed properties:
As for the relative energy among the computed polymorphs: 0.016 eV/atom. As for the energy of formation from the pure elements: 34.7 meV per atom. Its symmetry is No. 139. The value obtained for the raw total energy is -0.33910 Ry per atom.

Cell and atoms, written as extended XYZ:
```
4
Lattice="-2.655 2.655 5.323 2.655 -2.655 5.323 2.655 2.655 -5.323" Properties=species:S:1:pos:R:3 pbc="T T T"
Ac 0.000 0.000 0.000
La 2.655 0.000 2.661
La 0.000 2.655 2.661
Tb 0.000 0.000 5.323
```

***

no.,ρ (g cm⁻³),density of states at the Fermi level (states/eV/atom)
1,6.19,0.94
2,7.35,4.16
3,11.77,1.00
4,17.29,1.15
5,5.00,0.55
6,7.02,0.67
7,10.61,0.64
8,7.32,0.76
9,13.24,1.07
10,7.34,1.97